## i
# LiYHg2

A relaxed structure of LiYHg2 (PBE-GGA, Alexandria via LeMat-Bulk).

Cell: 3.705 5.065 10.005 Å, 90.00 90.00 90.00°
Space group Imm2 (No. 44)
Asymmetric unit:
1 Li 0.000 0.000 0.000 [2 per cell]
2 Y 0.000 0.500 0.781 [2 per cell]
3 Hg 0.000 0.000 0.534 [2 per cell]
4 Hg 0.000 0.500 0.278 [2 per cell]

The density of states at the Fermi level is 0.629 states/eV/atom. Its crystal system is orthorhombic.

## ii
# LiYHg2

A relaxed structure of LiYHg2 (PBE-GGA, Alexandria via LeMat-Bulk).

Cell: 3.526 3.492 7.216 Å, 90.00 90.11 90.00°
Space group P2/m (No. 10)
Asymmetric unit:
1 Li 0.000 0.000 0.000 [1 per cell]
2 Y 0.000 0.000 0.500 [1 per cell]
3 Hg 0.499 0.500 0.781 [2 per cell]

The density of states at the Fermi level is 0.715 states/eV/atom. Its crystal system is monoclinic.

## iii
# LiYHg2

A relaxed structure of LiYHg2 (PBE-GGA, Alexandria via LeMat-Bulk).

Cell: 3.8426 3.8426 23.0076 Å, 90.00 90.00 120.00°
Space group R3m (No. 160, hexagonal axes)
Asymmetric unit:
1 Li 0.0000 0.0000 0.0000 [3 per cell]
2 Y 0.0000 0.0000 0.1692 [3 per cell]
3 Hg 0.0000 0.0000 0.5973 [3 per cell]
4 Hg 0.0000 0.0000 0.7397 [3 per cell]

The density of states at the Fermi level is 0.650 states/eV/atom. Its crystal system is trigonal.

It comes down to ii, which is 0.105 eV/atom more stable than the next structure.

## i
# LiYHg2

A relaxed structure of LiYHg2 (PBE-GGA, Alexandria via LeMat-Bulk).

Cell: 3.818 3.874 6.470 Å, 90.00 90.00 90.00°
Space group Pmm2 (No. 25)
Asymmetric unit:
1 Li 0.000 0.000 0.000 [1 per cell]
2 Y 0.500 0.500 0.343 [1 per cell]
3 Hg 0.000 0.000 0.559 [1 per cell]
4 Hg 0.500 0.500 0.862 [1 per cell]

The density of states at the Fermi level is 0.457 states/eV/atom. Its crystal system is orthorhombic.

## ii
# LiYHg2

A relaxed structure of LiYHg2 (PBE-GGA, Alexandria via LeMat-Bulk).

Cell: 4.936 4.936 7.019 Å, 90.00 90.00 90.00°
Space group I-4m2 (No. 119)
Asymmetric unit:
1 Li 0.000 0.000 0.000 [2 per cell]
2 Y 0.000 0.500 0.750 [2 per cell]
3 Hg 0.000 0.000 0.500 [2 per cell]
4 Hg 0.000 0.500 0.250 [2 per cell]

The density of states at the Fermi level is 0.223 states/eV/atom. Its crystal system is tetragonal.

## iii
# LiYHg2

A relaxed structure of LiYHg2 (PBE-GGA, Alexandria via LeMat-Bulk).

Cell: 3.506 5.168 5.188 Å, 90.00 90.01 90.00°
Space group Pm (No. 6)
Asymmetric unit:
1 Li 0.000 0.000 0.000 [1 per cell]
2 Y 0.002 0.500 0.520 [1 per cell]
3 Hg 0.502 0.000 0.483 [1 per cell]
4 Hg 0.502 0.500 0.021 [1 per cell]

The density of states at the Fermi level is 0.620 states/eV/atom. Its crystal system is monoclinic.

It comes down to iii, which is 0.050 eV/atom more stable than the next structure.